# 1
Compound: CrSnSe2N
Source: Alexandria
Functional: GGA-PBEsol
Structure: relaxed

Output
Energy (eV for the cell shown): -31.19
Energy relative to the elements, uncorrected (eV per atom): -0.092
Fermi-level density of states (states/eV/atom): 0.453
Crystal system: tetragonal

Geometry as CIF:
```
data_CrSnSe2N
_space_group_name_H-M_alt 'P 4/m m m'
_space_group_IT_number 123
_space_group_name_Hall '-P 4 2'
_cell_length_a 5.0196
_cell_length_b 5.0196
_cell_length_c 3.5454
_cell_angle_alpha 90.00
_cell_angle_beta 90.00
_cell_angle_gamma 90.00
loop_
_atom_site_label
_atom_site_type_symbol
_atom_site_fract_x
_atom_site_fract_y
_atom_site_fract_z
_atom_site_occupancy
Cr1 Cr 0.0000 0.0000 0.0000 1
Sn1 Sn 0.5000 0.5000 0.5000 1
Se1 Se 0.0000 0.5000 0.0000 1
N1 N 0.0000 0.0000 0.5000 1
```

---

# 2
Compound: CrSnSeN2
Source: Alexandria
Functional: GGA-PBEsol
Structure: relaxed

Output
Energy (eV for the cell shown): -33.63
Energy relative to the elements, uncorrected (eV per atom): 0.355
Fermi-level density of states (states/eV/atom): 0.512
Crystal system: tetragonal

Geometry as CIF:
```
data_CrSnSeN2
_space_group_name_H-M_alt 'P 4/m m m'
_space_group_IT_number 123
_space_group_name_Hall '-P 4 2'
_cell_length_a 3.7996
_cell_length_b 3.7996
_cell_length_c 5.0092
_cell_angle_alpha 90.00
_cell_angle_beta 90.00
_cell_angle_gamma 90.00
loop_
_atom_site_label
_atom_site_type_symbol
_atom_site_fract_x
_atom_site_fract_y
_atom_site_fract_z
_atom_site_occupancy
Cr1 Cr 0.0000 0.0000 0.0000 1
Sn1 Sn 0.5000 0.5000 0.5000 1
Se1 Se 0.0000 0.0000 0.5000 1
N1 N 0.0000 0.5000 0.0000 1
```

---

# 3
Compound: SrCrSe2N
Source: Alexandria
Functional: GGA-PBEsol
Structure: relaxed

Output
Energy (eV for the cell shown): -31.99
Energy relative to the elements, uncorrected (eV per atom): -0.737
Fermi-level density of states (states/eV/atom): 0.323
Crystal system: tetragonal

Geometry as CIF:
```
data_SrCrSe2N
_space_group_name_H-M_alt 'P 4/m m m'
_space_group_IT_number 123
_space_group_name_Hall '-P 4 2'
_cell_length_a 5.0947
_cell_length_b 5.0947
_cell_length_c 3.6013
_cell_angle_alpha 90.00
_cell_angle_beta 90.00
_cell_angle_gamma 90.00
loop_
_atom_site_label
_atom_site_type_symbol
_atom_site_fract_x
_atom_site_fract_y
_atom_site_fract_z
_atom_site_occupancy
Sr1 Sr 0.0000 0.0000 0.0000 1
Cr1 Cr 0.5000 0.5000 0.5000 1
Se1 Se 0.0000 0.5000 0.5000 1
N1 N 0.5000 0.5000 0.0000 1
```

---

# 4
Compound: CrTcSe2N
Source: Alexandria
Functional: GGA-PBEsol
Structure: relaxed

Output
Energy (eV for the cell shown): -35.84
Energy relative to the elements, uncorrected (eV per atom): 0.379
Fermi-level density of states (states/eV/atom): 0.769
Crystal system: tetragonal

Geometry as CIF:
```
data_CrTcSe2N
_space_group_name_H-M_alt 'P 4/m m m'
_space_group_IT_number 123
_space_group_name_Hall '-P 4 2'
_cell_length_a 4.9631
_cell_length_b 4.9631
_cell_length_c 3.6364
_cell_angle_alpha 90.00
_cell_angle_beta 90.00
_cell_angle_gamma 90.00
loop_
_atom_site_label
_atom_site_type_symbol
_atom_site_fract_x
_atom_site_fract_y
_atom_site_fract_z
_atom_site_occupancy
Cr1 Cr 0.0000 0.0000 0.0000 1
Tc1 Tc 0.5000 0.5000 0.5000 1
Se1 Se 0.0000 0.5000 0.5000 1
N1 N 0.5000 0.5000 0.0000 1
```

---

# 5
Compound: ZrCrSeN2
Source: Alexandria
Functional: GGA-PBEsol
Structure: relaxed

Output
Energy (eV for the cell shown): -38.22
Energy relative to the elements, uncorrected (eV per atom): 0.403
Fermi-level density of states (states/eV/atom): 0.727
Crystal system: tetragonal

Geometry as CIF:
```
data_ZrCrSeN2
_space_group_name_H-M_alt 'P 4/m m m'
_space_group_IT_number 123
_space_group_name_Hall '-P 4 2'
_cell_length_a 4.0417
_cell_length_b 4.0417
_cell_length_c 5.4885
_cell_angle_alpha 90.00
_cell_angle_beta 90.00
_cell_angle_gamma 90.00
loop_
_atom_site_label
_atom_site_type_symbol
_atom_site_fract_x
_atom_site_fract_y
_atom_site_fract_z
_atom_site_occupancy
Zr1 Zr 0.0000 0.0000 0.0000 1
Cr1 Cr 0.5000 0.5000 0.5000 1
Se1 Se 0.0000 0.0000 0.5000 1
N1 N 0.0000 0.5000 0.0000 1
```

---

# 6
Compound: CrSnTeN2
Source: Alexandria
Functional: GGA-PBEsol
Structure: relaxed

Output
Energy (eV for the cell shown): -31.85
Energy relative to the elements, uncorrected (eV per atom): 0.645
Fermi-level density of states (states/eV/atom): 0.554
Crystal system: tetragonal

Geometry as CIF:
```
data_CrSnTeN2
_space_group_name_H-M_alt 'P 4/m m m'
_space_group_IT_number 123
_space_group_name_Hall '-P 4 2'
_cell_length_a 3.9110
_cell_length_b 3.9110
_cell_length_c 5.2780
_cell_angle_alpha 90.00
_cell_angle_beta 90.00
_cell_angle_gamma 90.00
loop_
_atom_site_label
_atom_site_type_symbol
_atom_site_fract_x
_atom_site_fract_y
_atom_site_fract_z
_atom_site_occupancy
Cr1 Cr 0.0000 0.0000 0.0000 1
Sn1 Sn 0.5000 0.5000 0.5000 1
Te1 Te 0.0000 0.0000 0.5000 1
N1 N 0.0000 0.5000 0.0000 1
```